Entry 1:
# AlMo2SN PBE relaxed
# Raw formation energy: 1.649 eV/atom
# DFT total energy: -29.6 eV/cell
data_AlMo2SN
_cell_length_a 4.399
_cell_length_b 4.399
_cell_length_c 4.358
_cell_angle_alpha 90.00
_cell_angle_beta 90.00
_cell_angle_gamma 90.00
_symmetry_space_group_name_H-M 'P 4/m m m'
_symmetry_Int_Tables_number 123
_symmetry_space_group_name_Hall '-P 4 2'
loop_
_atom_site_label
_atom_site_type_symbol
_atom_site_fract_x
_atom_site_fract_y
_atom_site_fract_z
Al1 Al 0.000 0.000 0.000
Mo1 Mo 0.000 0.500 0.500
S1 S 0.000 0.000 0.500
N1 N 0.500 0.500 0.000

***

Entry 2:
# Sc2AlMoN PBE relaxed
# Raw formation energy: -0.778 eV/atom
# DFT total energy: -39.4 eV/cell
data_Sc2AlMoN
_cell_length_a 4.454
_cell_length_b 4.454
_cell_length_c 4.041
_cell_angle_alpha 90.00
_cell_angle_beta 90.00
_cell_angle_gamma 90.00
_symmetry_space_group_name_H-M 'P 4/m m m'
_symmetry_Int_Tables_number 123
_symmetry_space_group_name_Hall '-P 4 2'
loop_
_atom_site_label
_atom_site_type_symbol
_atom_site_fract_x
_atom_site_fract_y
_atom_site_fract_z
Sc1 Sc 0.000 0.500 0.000
Al1 Al 0.000 0.000 0.500
Mo1 Mo 0.500 0.500 0.500
N1 N 0.500 0.500 0.000

***

Entry 3:
# AlMoSeN2 PBE relaxed
# Raw formation energy: 0.873 eV/atom
# Energy above the lowest structure with this stoichiometry: 532 meV/atom
# DFT total energy: -30.3 eV/cell
data_AlMoSeN2
_cell_length_a 3.785
_cell_length_b 3.785
_cell_length_c 4.998
_cell_angle_alpha 90.00
_cell_angle_beta 90.00
_cell_angle_gamma 90.00
_symmetry_space_group_name_H-M 'P 4/m m m'
_symmetry_Int_Tables_number 123
_symmetry_space_group_name_Hall '-P 4 2'
loop_
_atom_site_label
_atom_site_type_symbol
_atom_site_fract_x
_atom_site_fract_y
_atom_site_fract_z
Al1 Al 0.000 0.000 0.000
Mo1 Mo 0.500 0.500 0.500
Se1 Se 0.000 0.000 0.500
N1 N 0.000 0.500 0.000

***

Entry 4:
# AlMoSeN2 PBE relaxed
# Raw formation energy: 0.341 eV/atom
# Energy above the lowest structure with this stoichiometry: 0 meV/atom
# DFT total energy: -33.0 eV/cell
data_AlMoSeN2
_cell_length_a 3.904
_cell_length_b 3.904
_cell_length_c 5.304
_cell_angle_alpha 90.00
_cell_angle_beta 90.00
_cell_angle_gamma 90.00
_symmetry_space_group_name_H-M 'P 4/m m m'
_symmetry_Int_Tables_number 123
_symmetry_space_group_name_Hall '-P 4 2'
loop_
_atom_site_label
_atom_site_type_symbol
_atom_site_fract_x
_atom_site_fract_y
_atom_site_fract_z
Al1 Al 0.000 0.000 0.000
Mo1 Mo 0.500 0.500 0.500
Se1 Se 0.500 0.500 0.000
N1 N 0.000 0.500 0.500

***

Entry 5:
# Sr2AlMoN PBE relaxed
# Raw formation energy: -0.087 eV/atom
# DFT total energy: -26.7 eV/cell
data_Sr2AlMoN
_cell_length_a 5.415
_cell_length_b 5.415
_cell_length_c 4.019
_cell_angle_alpha 90.00
_cell_angle_beta 90.00
_cell_angle_gamma 90.00
_symmetry_space_group_name_H-M 'P 4/m m m'
_symmetry_Int_Tables_number 123
_symmetry_space_group_name_Hall '-P 4 2'
loop_
_atom_site_label
_atom_site_type_symbol
_atom_site_fract_x
_atom_site_fract_y
_atom_site_fract_z
Sr1 Sr 0.000 0.500 0.000
Al1 Al 0.000 0.000 0.500
Mo1 Mo 0.500 0.500 0.500
N1 N 0.500 0.500 0.000

***

Entry 6:
# AlTe2MoN PBE relaxed
# Raw formation energy: 0.670 eV/atom
# Energy above the lowest structure with this stoichiometry: 407 meV/atom
# DFT total energy: -25.8 eV/cell
data_AlTe2MoN
_cell_length_a 5.537
_cell_length_b 5.537
_cell_length_c 3.459
_cell_angle_alpha 90.00
_cell_angle_beta 90.00
_cell_angle_gamma 90.00
_symmetry_space_group_name_H-M 'P 4/m m m'
_symmetry_Int_Tables_number 123
_symmetry_space_group_name_Hall '-P 4 2'
loop_
_atom_site_label
_atom_site_type_symbol
_atom_site_fract_x
_atom_site_fract_y
_atom_site_fract_z
Al1 Al 0.000 0.000 0.000
Te1 Te 0.000 0.500 0.000
Mo1 Mo 0.500 0.500 0.500
N1 N 0.000 0.000 0.500

***

Entry 7:
# AlTe2MoN PBE relaxed
# Raw formation energy: 0.264 eV/atom
# Energy above the lowest structure with this stoichiometry: 0 meV/atom
# DFT total energy: -27.9 eV/cell
data_AlTe2MoN
_cell_length_a 5.483
_cell_length_b 5.483
_cell_length_c 3.794
_cell_angle_alpha 90.00
_cell_angle_beta 90.00
_cell_angle_gamma 90.00
_symmetry_space_group_name_H-M 'P 4/m m m'
_symmetry_Int_Tables_number 123
_symmetry_space_group_name_Hall '-P 4 2'
loop_
_atom_site_label
_atom_site_type_symbol
_atom_site_fract_x
_atom_site_fract_y
_atom_site_fract_z
Al1 Al 0.000 0.000 0.000
Te1 Te 0.000 0.500 0.500
Mo1 Mo 0.500 0.500 0.500
N1 N 0.500 0.500 0.000

***

Entry 8:
# Ti2AlMoN PBE relaxed
# Raw formation energy: -0.694 eV/atom
# DFT total energy: -42.2 eV/cell
data_Ti2AlMoN
_cell_length_a 4.103
_cell_length_b 4.103
_cell_length_c 4.163
_cell_angle_alpha 90.00
_cell_angle_beta 90.00
_cell_angle_gamma 90.00
_symmetry_space_group_name_H-M 'P 4/m m m'
_symmetry_Int_Tables_number 123
_symmetry_space_group_name_Hall '-P 4 2'
loop_
_atom_site_label
_atom_site_type_symbol
_atom_site_fract_x
_atom_site_fract_y
_atom_site_fract_z
Ti1 Ti 0.000 0.500 0.000
Al1 Al 0.000 0.000 0.500
Mo1 Mo 0.500 0.500 0.500
N1 N 0.500 0.500 0.000

***

Summary of magnetic moment in μB per cell
0.00; 0.00; 1.28; 0.00; 1.61; 3.14; 0.00; 0.60
(order as listed above)